1.
Below is an optimized crystal structure of NaSb2RuI, with properties calculated at the PBE level.

Output
Volume in Å³/f.u.: 158.2
Crystal system: tetragonal
Space group: P4/mmm
Final energy in eV/atom: -4.01
ρ in g cm⁻³: 5.19

abc: 5.0480 5.0480 6.2099
angles: 90.00 90.00 90.00
Last column: nearest neighbours and their distance in Å.
Positions (direct):
Ru (0.0000, 0.0000, 0.0000)  4 Sb 2.52
Sb (0.5000, 0.0000, 0.0000)  2 Ru 2.52
Sb (0.0000, 0.5000, 0.0000)  2 Ru 2.52
Na (0.5000, 0.5000, 0.5000)  4 I 3.57
I (0.0000, 0.0000, 0.5000)  2 Ru 3.10

2.
Below is an optimized crystal structure of NaSb2RuI, with properties calculated at the PBE level.

Output
Volume in Å³/f.u.: 160.6
Crystal system: tetragonal
Space group: P4/mmm
Final energy in eV/atom: -2.69
ρ in g cm⁻³: 5.11

abc: 5.3871 5.3871 5.5344
angles: 90.00 90.00 90.00
Last column: nearest neighbours and their distance in Å.
Positions (direct):
I (0.0000, 0.0000, 0.5000)  2 Na 2.77
Ru (0.5000, 0.5000, 0.5000)  4 I 3.81, 8 Sb 3.86
Sb (0.5000, 0.0000, 0.0000)  2 Na 2.69
Sb (0.0000, 0.5000, 0.0000)  2 Na 2.69
Na (0.0000, 0.0000, 0.0000)  4 Sb 2.69, 2 I 2.77

Calculated values (kJ/mol of formula units) of energy relative to the elements, uncorrected for the records, taken in order: 32, 670.
Calculated values (eV per atom) of excess energy over the best structure of this formula in the dataset for the records, taken in order: 0.0000, 1.3227.